*w*
NaScTi: optimized geometry, PBE.

Output
The density of states at the Fermi level comes out at 0.881 states/eV/atom. The calculation puts the calculated volume at 24.66 A^3/atom. Its total moment is 0.00 μB/f.u. As for the theoretical density: 2.60 Mg/m³.

Unit cell a=3.1075 b=4.7175 c=10.2049 alpha=90.00 beta=98.52 gamma=90.00
Fractional coordinates of all 6 atoms:
1 Na 0.1980 0.2500 0.3994
2 Na 0.8020 0.7500 0.6006
3 Sc 0.4077 0.2500 0.8102
4 Sc 0.5923 0.7500 0.1898
5 Ti 0.0265 0.2500 0.0551
6 Ti 0.9735 0.7500 0.9449

---

*x*
NaScTi: optimized geometry, PBE.

Output
The density of states at the Fermi level comes out at 1.140 states/eV/atom. The calculation puts the calculated volume at 23.58 A^3/atom. Its total moment is 0.34 μB/f.u. As for the theoretical density: 2.72 Mg/m³.

Unit cell a=5.3793 b=3.1082 c=8.6513 alpha=90.00 beta=102.04 gamma=90.00
Fractional coordinates of all 6 atoms:
1 Na 0.0000 0.0000 0.0000
2 Na 0.4992 0.5000 0.9981
3 Sc 0.2945 0.5000 0.3809
4 Sc 0.7934 0.0000 0.3789
5 Ti 0.0488 0.5000 0.6505
6 Ti 0.5548 0.0000 0.6513

---

*y*
NaScTi: optimized geometry, PBE.

Output
The density of states at the Fermi level comes out at 1.321 states/eV/atom. The calculation puts the calculated volume at 30.42 A^3/atom. Its total moment is 4.58 μB/f.u. As for the theoretical density: 2.11 Mg/m³.

Unit cell a=7.1468 b=7.1468 c=7.1468 alpha=90.00 beta=90.00 gamma=90.00
Fractional coordinates of all 12 atoms:
1 Na 0.0000 0.0000 0.0000
2 Na 0.0000 0.5000 0.5000
3 Na 0.5000 0.0000 0.5000
4 Na 0.5000 0.5000 0.0000
5 Sc 0.0000 0.0000 0.5000
6 Sc 0.0000 0.5000 0.0000
7 Sc 0.5000 0.0000 0.0000
8 Sc 0.5000 0.5000 0.5000
9 Ti 0.2500 0.2500 0.7500
10 Ti 0.2500 0.7500 0.2500
11 Ti 0.7500 0.2500 0.2500
12 Ti 0.7500 0.7500 0.7500

---

Order of stability, best first: *w*, *x*, *y*

---

*w*
NaScTi3: optimized geometry, PBE.

Output
The density of states at the Fermi level comes out at 1.980 states/eV/atom. The calculation puts the calculated volume at 23.93 A^3/atom. Its total moment is 3.49 μB/f.u. As for the theoretical density: 2.94 Mg/m³.

Unit cell a=4.9278 b=4.9278 c=4.9278 alpha=90.00 beta=90.00 gamma=90.00
Fractional coordinates of all 5 atoms:
1 Na 0.0000 0.0000 0.0000
2 Sc 0.5000 0.5000 0.5000
3 Ti 0.0000 0.5000 0.5000
4 Ti 0.5000 0.0000 0.5000
5 Ti 0.5000 0.5000 0.0000

---

*x*
NaScTi3: optimized geometry, PBE.

Output
The density of states at the Fermi level comes out at 1.821 states/eV/atom. The calculation puts the calculated volume at 21.74 A^3/atom. Its total moment is 1.73 μB/f.u. As for the theoretical density: 3.23 Mg/m³.

Unit cell a=4.7722 b=4.7722 c=4.7722 alpha=90.00 beta=90.00 gamma=90.00
Fractional coordinates of all 5 atoms:
1 Na 0.0000 0.0000 0.0000
2 Sc 0.5000 0.5000 0.5000
3 Ti 0.0000 0.0000 0.5000
4 Ti 0.0000 0.5000 0.0000
5 Ti 0.5000 0.0000 0.0000

---

Order of stability, best first: *w*, *x*

---

*w*
NaTmSc: optimized geometry, PBE.

Output
The density of states at the Fermi level comes out at 1.438 states/eV/atom. The calculation puts the calculated volume at 32.02 A^3/atom. Its total moment is 0.09 μB/f.u. As for the theoretical density: 4.10 Mg/m³.

Unit cell a=4.0470 b=4.0470 c=11.7289 alpha=90.00 beta=90.00 gamma=90.00
Fractional coordinates of all 6 atoms:
1 Na 0.2500 0.2500 0.0809
2 Na 0.7500 0.7500 0.9191
3 Tm 0.2500 0.2500 0.7241
4 Tm 0.7500 0.7500 0.2759
5 Sc 0.2500 0.7500 0.5000
6 Sc 0.7500 0.2500 0.5000

---

*x*
NaTmSc: optimized geometry, PBE.

Output
The density of states at the Fermi level comes out at 1.418 states/eV/atom. The calculation puts the calculated volume at 29.57 A^3/atom. Its total moment is 0.78 μB/f.u. As for the theoretical density: 4.43 Mg/m³.

Unit cell a=3.3839 b=3.3839 c=8.9449 alpha=90.00 beta=90.00 gamma=120.00
Fractional coordinates of all 3 atoms:
1 Na 0.0000 0.0000 0.0000
2 Tm 0.6667 0.3333 0.3632
3 Sc 0.3333 0.6667 0.6525

---

Order of stability, best first: *x*, *w*

---

*w*
NaSc2V: optimized geometry, PBE.

Output
The density of states at the Fermi level comes out at 0.885 states/eV/atom. The calculation puts the calculated volume at 23.06 A^3/atom. Its total moment is 3.11 μB/f.u. As for the theoretical density: 2.95 Mg/m³.

Unit cell a=7.6972 b=7.6972 c=6.2264 alpha=90.00 beta=90.00 gamma=90.00
Fractional coordinates of all 16 atoms:
1 Na 0.0000 0.0000 0.0000
2 Na 0.0000 0.5000 0.2500
3 Na 0.5000 0.0000 0.7500
4 Na 0.5000 0.5000 0.5000
5 Sc 0.2328 0.2500 0.6250
6 Sc 0.2500 0.7328 0.8750
7 Sc 0.2500 0.7672 0.3750
8 Sc 0.2672 0.2500 0.1250
9 Sc 0.7328 0.7500 0.1250
10 Sc 0.7500 0.2328 0.3750
11 Sc 0.7500 0.2672 0.8750
12 Sc 0.7672 0.7500 0.6250
13 V 0.0000 0.0000 0.5000
14 V 0.0000 0.5000 0.7500
15 V 0.5000 0.0000 0.2500
16 V 0.5000 0.5000 0.0000

---

*x*
NaSc2V: optimized geometry, PBE.

Output
The density of states at the Fermi level comes out at 1.533 states/eV/atom. The calculation puts the calculated volume at 22.36 A^3/atom. Its total moment is 3.93 μB/f.u. As for the theoretical density: 3.04 Mg/m³.

Unit cell a=7.0989 b=7.0989 c=7.0989 alpha=90.00 beta=90.00 gamma=90.00
Fractional coordinates of all 16 atoms:
1 Na 0.0000 0.0000 0.0000
2 Na 0.0000 0.5000 0.5000
3 Na 0.5000 0.0000 0.5000
4 Na 0.5000 0.5000 0.0000
5 Sc 0.2500 0.2500 0.2500
6 Sc 0.2500 0.2500 0.7500
7 Sc 0.2500 0.7500 0.2500
8 Sc 0.2500 0.7500 0.7500
9 Sc 0.7500 0.2500 0.2500
10 Sc 0.7500 0.2500 0.7500
11 Sc 0.7500 0.7500 0.2500
12 Sc 0.7500 0.7500 0.7500
13 V 0.0000 0.0000 0.5000
14 V 0.0000 0.5000 0.0000
15 V 0.5000 0.0000 0.0000
16 V 0.5000 0.5000 0.5000

---

Order of stability, best first: *x*, *w*